An optimized crystal structure of Ce2ReAu. Source: the Alexandria database, functional PBE.

## Properties
formation energy from the elements: -0.11 eV/atom
D(E_F): 2.087 states/eV per atom

The structure in CIF format:
```
data_Ce2ReAu
_cell_length_a 5.0507
_cell_length_b 5.0507
_cell_length_c 12.3147
_cell_angle_alpha 90.00
_cell_angle_beta 90.00
_cell_angle_gamma 120.00
_symmetry_space_group_name_H-M 'R -3 m'
_symmetry_Int_Tables_number 166
_symmetry_space_group_name_Hall '-R 3 2"'
loop_
_atom_site_label
_atom_site_fract_x
_atom_site_fract_y
_atom_site_fract_z
Ce1 0.0000 0.0000 0.2495
Re1 0.0000 0.0000 0.0000
Au1 0.0000 0.0000 0.5000
```



An optimized crystal structure of Ce2ReAu. Source: the Alexandria database, functional PBE.

## Properties
formation energy from the elements: -0.23 eV/atom
D(E_F): 1.904 states/eV per atom

The structure in CIF format:
```
data_Ce2ReAu
_cell_length_a 3.406
_cell_length_b 3.406
_cell_length_c 7.830
_cell_angle_alpha 90.00
_cell_angle_beta 90.00
_cell_angle_gamma 90.00
_symmetry_space_group_name_H-M 'P 4/m m m'
_symmetry_Int_Tables_number 123
_symmetry_space_group_name_Hall '-P 4 2'
loop_
_atom_site_label
_atom_site_fract_x
_atom_site_fract_y
_atom_site_fract_z
Ce1 0.000 0.000 0.225
Re1 0.500 0.500 0.000
Au1 0.500 0.500 0.500
```



An optimized crystal structure of CeThReAu. Source: the Alexandria database, functional PBE.

## Properties
formation energy from the elements: -0.14 eV/atom
D(E_F): 1.823 states/eV per atom

The structure in CIF format:
```
data_CeThReAu
_cell_length_a 7.221
_cell_length_b 7.221
_cell_length_c 7.221
_cell_angle_alpha 90.00
_cell_angle_beta 90.00
_cell_angle_gamma 90.00
_symmetry_space_group_name_H-M 'F -4 3 m'
_symmetry_Int_Tables_number 216
_symmetry_space_group_name_Hall 'F -4 2 3'
loop_
_atom_site_label
_atom_site_fract_x
_atom_site_fract_y
_atom_site_fract_z
Ce1 0.000 0.000 0.000
Th1 0.000 0.000 0.500
Re1 0.250 0.250 0.250
Au1 0.250 0.250 0.750
```



An optimized crystal structure of Ce6Rh2Au. Source: the Alexandria database, functional PBE.

## Properties
formation energy from the elements: -0.44 eV/atom
D(E_F): 2.194 states/eV per atom

The structure in CIF format:
```
data_Ce6Rh2Au
_cell_length_a 10.682
_cell_length_b 4.781
_cell_length_c 9.025
_cell_angle_alpha 90.00
_cell_angle_beta 117.06
_cell_angle_gamma 90.00
_symmetry_space_group_name_H-M 'C 1 2/m 1'
_symmetry_Int_Tables_number 12
loop_
_symmetry_equiv_pos_as_xyz
'x,y,z'
'-x,-y,-z'
'-x,y,-z'
'x,-y,z'
'x+1/2,y+1/2,z'
'-x+1/2,-y+1/2,-z'
'-x+1/2,y+1/2,-z'
'x+1/2,-y+1/2,z'
loop_
_atom_site_label
_atom_site_fract_x
_atom_site_fract_y
_atom_site_fract_z
Ce1 0.030 0.000 0.165
Ce2 0.173 0.500 0.500
Ce3 0.196 0.500 0.131
Rh1 0.114 0.500 0.787
Au1 0.000 0.000 0.500
```



An optimized crystal structure of Ce5RhAu2. Source: the Alexandria database, functional PBE.

## Properties
formation energy from the elements: -0.48 eV/atom
D(E_F): 3.208 states/eV per atom

The structure in CIF format:
```
data_Ce5RhAu2
_cell_length_a 7.387
_cell_length_b 11.740
_cell_length_c 4.742
_cell_angle_alpha 90.00
_cell_angle_beta 90.00
_cell_angle_gamma 90.00
_symmetry_space_group_name_H-M 'P b a m'
_symmetry_Int_Tables_number 55
loop_
_symmetry_equiv_pos_as_xyz
'x,y,z'
'-x,-y,-z'
'-x,-y,z'
'x,y,-z'
'x+1/2,-y+1/2,-z'
'-x+1/2,y+1/2,z'
'-x+1/2,y+1/2,-z'
'x+1/2,-y+1/2,z'
loop_
_atom_site_label
_atom_site_fract_x
_atom_site_fract_y
_atom_site_fract_z
Ce1 0.000 0.000 0.000
Ce2 0.122 0.284 0.000
Ce3 0.221 0.555 0.500
Rh1 0.000 0.500 0.000
Au1 0.106 0.813 0.500
```



An optimized crystal structure of Ce3Rh2Au3. Source: the Alexandria database, functional PBE.

## Properties
formation energy from the elements: -0.74 eV/atom
D(E_F): 1.969 states/eV per atom

The structure in CIF format:
```
data_Ce3Rh2Au3
_cell_length_a 7.3761
_cell_length_b 7.3761
_cell_length_c 3.7310
_cell_angle_alpha 90.00
_cell_angle_beta 90.00
_cell_angle_gamma 120.00
_symmetry_space_group_name_H-M 'P -6 2 m'
_symmetry_Int_Tables_number 189
_symmetry_space_group_name_Hall 'P -6 -2'
loop_
_atom_site_label
_atom_site_fract_x
_atom_site_fract_y
_atom_site_fract_z
Ce1 0.0000 0.5928 0.0000
Rh1 0.3333 0.6667 0.5000
Au1 0.0000 0.2299 0.5000
```



An optimized crystal structure of Ce6RhAu5. Source: the Alexandria database, functional PBE.

## Properties
formation energy from the elements: -0.61 eV/atom
D(E_F): 2.887 states/eV per atom

The structure in CIF format:
```
data_Ce6RhAu5
_cell_length_a 16.343
_cell_length_b 7.333
_cell_length_c 5.105
_cell_angle_alpha 90.00
_cell_angle_beta 108.12
_cell_angle_gamma 90.00
_symmetry_space_group_name_H-M 'C 1 2/m 1'
_symmetry_Int_Tables_number 12
loop_
_symmetry_equiv_pos_as_xyz
'x,y,z'
'-x,-y,-z'
'-x,y,-z'
'x,-y,z'
'x+1/2,y+1/2,z'
'-x+1/2,-y+1/2,-z'
'-x+1/2,y+1/2,-z'
'x+1/2,-y+1/2,z'
loop_
_atom_site_label
_atom_site_fract_x
_atom_site_fract_y
_atom_site_fract_z
Ce1 0.000 0.229 0.000
Ce2 0.154 0.238 0.654
Rh1 0.000 0.000 0.500
Au1 0.000 0.500 0.500
Au2 0.171 0.500 0.171
Au3 0.188 0.000 0.188
```



An optimized crystal structure of Ce4Rh12Au. Source: the Alexandria database, functional PBE.

## Properties
formation energy from the elements: -0.48 eV/atom
D(E_F): 1.368 states/eV per atom

The structure in CIF format:
```
data_Ce4Rh12Au
_cell_length_a 8.444
_cell_length_b 8.444
_cell_length_c 8.444
_cell_angle_alpha 90.00
_cell_angle_beta 90.00
_cell_angle_gamma 90.00
_symmetry_space_group_name_H-M 'I m -3 m'
_symmetry_Int_Tables_number 229
_symmetry_space_group_name_Hall '-I 4 2 3'
loop_
_atom_site_label
_atom_site_fract_x
_atom_site_fract_y
_atom_site_fract_z
Ce1 0.250 0.250 0.250
Rh1 0.000 0.000 0.307
Rh2 0.000 0.250 0.500
Au1 0.000 0.000 0.000
```



An optimized crystal structure of CeRh4Au. Source: the Alexandria database, functional PBE.

## Properties
formation energy from the elements: -0.35 eV/atom
D(E_F): 1.350 states/eV per atom

The structure in CIF format:
```
data_CeRh4Au
_cell_length_a 7.463
_cell_length_b 7.463
_cell_length_c 7.463
_cell_angle_alpha 90.00
_cell_angle_beta 90.00
_cell_angle_gamma 90.00
_symmetry_space_group_name_H-M 'F -4 3 m'
_symmetry_Int_Tables_number 216
_symmetry_space_group_name_Hall 'F -4 2 3'
loop_
_atom_site_label
_atom_site_fract_x
_atom_site_fract_y
_atom_site_fract_z
Ce1 0.000 0.000 0.000
Rh1 0.124 0.124 0.376
Au1 0.250 0.250 0.750
```



An optimized crystal structure of Ce8RhAu2. Source: the Alexandria database, functional PBE.

## Properties
formation energy from the elements: -0.32 eV/atom
D(E_F): 2.579 states/eV per atom

The structure in CIF format:
```
data_Ce8RhAu2
_cell_length_a 17.893
_cell_length_b 4.686
_cell_length_c 6.612
_cell_angle_alpha 90.00
_cell_angle_beta 98.93
_cell_angle_gamma 90.00
_symmetry_space_group_name_H-M 'C 1 2/m 1'
_symmetry_Int_Tables_number 12
loop_
_symmetry_equiv_pos_as_xyz
'x,y,z'
'-x,-y,-z'
'-x,y,-z'
'x,-y,z'
'x+1/2,y+1/2,z'
'-x+1/2,-y+1/2,-z'
'-x+1/2,y+1/2,-z'
'x+1/2,-y+1/2,z'
loop_
_atom_site_label
_atom_site_fract_x
_atom_site_fract_y
_atom_site_fract_z
Ce1 0.012 0.000 0.255
Ce2 0.090 0.500 0.444
Ce3 0.158 0.500 0.994
Ce4 0.218 0.000 0.232
Rh1 0.000 0.500 0.000
Au1 0.167 0.000 0.684
```



An optimized crystal structure of Ce6RhAu2. Source: the Alexandria database, functional PBE.

## Properties
formation energy from the elements: -0.43 eV/atom
D(E_F): 2.797 states/eV per atom

The structure in CIF format:
```
data_Ce6RhAu2
_cell_length_a 3.658
_cell_length_b 15.348
_cell_length_c 8.125
_cell_angle_alpha 90.00
_cell_angle_beta 90.00
_cell_angle_gamma 90.00
_symmetry_space_group_name_H-M 'A m m 2'
_symmetry_Int_Tables_number 38
loop_
_symmetry_equiv_pos_as_xyz
'x,y,z'
'-x,-y,z'
'-x,y,z'
'x,-y,z'
'x,y+1/2,z+1/2'
'-x,-y+1/2,z+1/2'
'-x,y+1/2,z+1/2'
'x,-y+1/2,z+1/2'
loop_
_atom_site_label
_atom_site_fract_x
_atom_site_fract_y
_atom_site_fract_z
Ce1 0.000 0.000 0.000
Ce2 0.000 0.128 0.624
Ce3 0.500 0.000 0.296
Ce4 0.500 0.193 0.959
Rh1 0.500 0.000 0.706
Au1 0.000 0.171 0.259
```



An optimized crystal structure of Ce5Rh2Au. Source: the Alexandria database, functional PBE.

## Properties
formation energy from the elements: -0.53 eV/atom
D(E_F): 2.350 states/eV per atom

The structure in CIF format:
```
data_Ce5Rh2Au
_cell_length_a 4.585
_cell_length_b 10.520
_cell_length_c 15.969
_cell_angle_alpha 90.00
_cell_angle_beta 90.00
_cell_angle_gamma 90.00
_symmetry_space_group_name_H-M 'C m c m'
_symmetry_Int_Tables_number 63
_symmetry_space_group_name_Hall '-C 2c 2'
loop_
_atom_site_label
_atom_site_fract_x
_atom_site_fract_y
_atom_site_fract_z
Ce1 0.000 0.074 0.107
Ce2 0.000 0.223 0.750
Ce3 0.000 0.406 0.072
Rh1 0.000 0.255 0.578
Au1 0.000 0.489 0.250
```



An optimized crystal structure of Ce4Rh2Au. Source: the Alexandria database, functional PBE.

## Properties
formation energy from the elements: -0.53 eV/atom
D(E_F): 1.924 states/eV per atom

The structure in CIF format:
```
data_Ce4Rh2Au
_cell_length_a 6.224
_cell_length_b 4.455
_cell_length_c 6.386
_cell_angle_alpha 90.00
_cell_angle_beta 112.35
_cell_angle_gamma 90.00
_symmetry_space_group_name_H-M 'P 1 m 1'
_symmetry_Int_Tables_number 6
loop_
_symmetry_equiv_pos_as_xyz
'x,y,z'
'x,-y,z'
loop_
_atom_site_label
_atom_site_fract_x
_atom_site_fract_y
_atom_site_fract_z
Ce1 0.000 0.000 0.000
Ce2 0.163 0.500 0.635
Ce3 0.555 0.000 0.454
Ce4 0.722 0.500 0.273
Rh1 0.206 0.500 0.205
Rh2 0.744 0.500 0.782
Au1 0.476 0.000 0.916
```



An optimized crystal structure of Ce3Rh3Au2. Source: the Alexandria database, functional PBE.

## Properties
formation energy from the elements: -0.61 eV/atom
D(E_F): 1.439 states/eV per atom

The structure in CIF format:
```
data_Ce3Rh3Au2
_cell_length_a 8.2277
_cell_length_b 8.2277
_cell_length_c 5.6650
_cell_angle_alpha 90.00
_cell_angle_beta 90.00
_cell_angle_gamma 120.00
_symmetry_space_group_name_H-M 'P 63/m c m'
_symmetry_Int_Tables_number 193
_symmetry_space_group_name_Hall '-P 6c 2'
loop_
_atom_site_label
_atom_site_fract_x
_atom_site_fract_y
_atom_site_fract_z
Ce1 0.0000 0.2732 0.2500
Rh1 0.0000 0.3718 0.7500
Au1 0.3333 0.6667 0.0000
```



An optimized crystal structure of Ce6RhAu2. Source: the Alexandria database, functional PBE.

## Properties
formation energy from the elements: -0.28 eV/atom
D(E_F): 3.039 states/eV per atom

The structure in CIF format:
```
data_Ce6RhAu2
_cell_length_a 5.516
_cell_length_b 6.760
_cell_length_c 13.367
_cell_angle_alpha 90.00
_cell_angle_beta 90.00
_cell_angle_gamma 90.00
_symmetry_space_group_name_H-M 'I m m m'
_symmetry_Int_Tables_number 71
_symmetry_space_group_name_Hall '-I 2 2'
loop_
_atom_site_label
_atom_site_fract_x
_atom_site_fract_y
_atom_site_fract_z
Ce1 0.000 0.203 0.000
Ce2 0.000 0.214 0.348
Rh1 0.000 0.500 0.500
Au1 0.000 0.500 0.174
```



An optimized crystal structure of Ce4Rh2Au5. Source: the Alexandria database, functional PBE.

## Properties
formation energy from the elements: -0.68 eV/atom
D(E_F): 2.043 states/eV per atom

The structure in CIF format:
```
data_Ce4Rh2Au5
_cell_length_a 7.445
_cell_length_b 3.749
_cell_length_c 9.024
_cell_angle_alpha 90.00
_cell_angle_beta 94.48
_cell_angle_gamma 90.00
_symmetry_space_group_name_H-M 'P 1 2/m 1'
_symmetry_Int_Tables_number 10
loop_
_symmetry_equiv_pos_as_xyz
'x,y,z'
'-x,-y,-z'
'-x,y,-z'
'x,-y,z'
loop_
_atom_site_label
_atom_site_fract_x
_atom_site_fract_y
_atom_site_fract_z
Ce1 0.200 0.000 0.355
Ce2 0.234 0.000 0.920
Rh1 0.073 0.500 0.148
Au1 0.165 0.500 0.630
Au2 0.455 0.500 0.165
Au3 0.500 0.500 0.500
```



An optimized crystal structure of Ce8Rh5Au. Source: the Alexandria database, functional PBE.

## Properties
formation energy from the elements: -0.63 eV/atom
D(E_F): 2.606 states/eV per atom

The structure in CIF format:
```
data_Ce8Rh5Au
_cell_length_a 8.811
_cell_length_b 8.811
_cell_length_c 8.622
_cell_angle_alpha 90.00
_cell_angle_beta 90.00
_cell_angle_gamma 90.00
_symmetry_space_group_name_H-M 'I -4'
_symmetry_Int_Tables_number 82
loop_
_symmetry_equiv_pos_as_xyz
'x,y,z'
'y,-x,-z'
'-x,-y,z'
'-y,x,-z'
'x+1/2,y+1/2,z+1/2'
'y+1/2,-x+1/2,-z+1/2'
'-x+1/2,-y+1/2,z+1/2'
'-y+1/2,x+1/2,-z+1/2'
loop_
_atom_site_label
_atom_site_fract_x
_atom_site_fract_y
_atom_site_fract_z
Ce1 0.057 0.176 0.322
Ce2 0.062 0.304 0.931
Rh1 0.000 0.000 0.000
Rh2 0.133 0.255 0.622
Au1 0.000 0.500 0.250
```



An optimized crystal structure of Ce2RhAu6. Source: the Alexandria database, functional PBE.

## Properties
formation energy from the elements: -0.47 eV/atom
D(E_F): 1.316 states/eV per atom

The structure in CIF format:
```
data_Ce2RhAu6
_cell_length_a 13.993
_cell_length_b 3.974
_cell_length_c 7.163
_cell_angle_alpha 90.00
_cell_angle_beta 113.22
_cell_angle_gamma 90.00
_symmetry_space_group_name_H-M 'C 1 2/m 1'
_symmetry_Int_Tables_number 12
loop_
_symmetry_equiv_pos_as_xyz
'x,y,z'
'-x,-y,-z'
'-x,y,-z'
'x,-y,z'
'x+1/2,y+1/2,z'
'-x+1/2,-y+1/2,-z'
'-x+1/2,y+1/2,-z'
'x+1/2,-y+1/2,z'
loop_
_atom_site_label
_atom_site_fract_x
_atom_site_fract_y
_atom_site_fract_z
Ce1 0.056 0.000 0.305
Rh1 0.000 0.500 0.000
Au1 0.110 0.500 0.675
Au2 0.169 0.000 0.007
Au3 0.229 0.500 0.331
```



An optimized crystal structure of CeRhAu4. Source: the Alexandria database, functional PBE.

## Properties
formation energy from the elements: -0.45 eV/atom
D(E_F): 0.872 states/eV per atom

The structure in CIF format:
```
data_CeRhAu4
_cell_length_a 5.412
_cell_length_b 5.424
_cell_length_c 5.513
_cell_angle_alpha 119.05
_cell_angle_beta 93.78
_cell_angle_gamma 115.98
_symmetry_space_group_name_H-M 'P 1'
_symmetry_Int_Tables_number 1
loop_
_symmetry_equiv_pos_as_xyz
'x,y,z'
loop_
_atom_site_label
_atom_site_fract_x
_atom_site_fract_y
_atom_site_fract_z
Ce1 0.000 0.000 0.000
Rh1 0.700 0.191 0.893
Au1 0.162 0.772 0.422
Au2 0.262 0.491 0.754
Au3 0.622 0.694 0.315
Au4 0.650 0.261 0.424
```



An optimized crystal structure of Ce6Rh3Au. Source: the Alexandria database, functional PBE.

## Properties
formation energy from the elements: -0.45 eV/atom
D(E_F): 2.465 states/eV per atom

The structure in CIF format:
```
data_Ce6Rh3Au
_cell_length_a 10.830
_cell_length_b 13.868
_cell_length_c 6.770
_cell_angle_alpha 90.00
_cell_angle_beta 90.00
_cell_angle_gamma 90.00
_symmetry_space_group_name_H-M 'C m c 21'
_symmetry_Int_Tables_number 36
loop_
_symmetry_equiv_pos_as_xyz
'x,y,z'
'-x,-y,z+1/2'
'-x,y,z'
'x,-y,z+1/2'
'x+1/2,y+1/2,z'
'-x+1/2,-y+1/2,z+1/2'
'-x+1/2,y+1/2,z'
'x+1/2,-y+1/2,z+1/2'
loop_
_atom_site_label
_atom_site_fract_x
_atom_site_fract_y
_atom_site_fract_z
Ce1 0.000 0.005 0.000
Ce2 0.000 0.236 0.730
Ce3 0.165 0.433 0.552
Ce4 0.190 0.294 0.001
Rh1 0.000 0.438 0.865
Rh2 0.180 0.086 0.756
Au1 0.000 0.198 0.279
```